! PuBe2NiO6 (GGA+U, relaxed); values from VASP
&SYSTEM
  ibrav = 0, nat = 20, ntyp = 4
/
ATOMIC_SPECIES
O 16.00 O.upf
Be 9.01 Be.upf
Pu 244.00 Pu.upf
Ni 58.69 Ni.upf
CELL_PARAMETERS angstrom
-1.375 4.732 -0.892
-5.491 -1.168 -3.150
-3.582 0.973 5.259
ATOMIC_POSITIONS angstrom
O -3.887 3.363 2.167
O -8.335 0.252 0.950
O -4.155 2.647 -0.327
O -4.070 0.021 -1.223
O -8.666 3.018 2.077
O -2.113 4.285 0.267
O -6.561 1.174 -0.951
O -6.293 1.889 1.544
O -1.782 1.518 -0.860
O -3.225 0.553 1.188
O -6.378 4.516 2.439
O -7.223 3.983 0.029
Be -3.295 1.243 -0.294
Be -6.760 0.597 0.657
Be -7.153 3.294 1.510
Be -3.688 3.939 0.559
Pu -5.979 2.990 -1.426
Pu -4.469 1.546 2.642
Ni -5.669 0.201 -2.644
Ni -4.779 4.336 3.860
! * size of the total moment: 4.0 μB per formula unit
! * E: -7.649 eV per atom